Here is MgCrSb2 after structural relaxation from the Alexandria database. Energies are from GGA-PBE.

POSCAR file:
```
MgCrSb2
1.0
-2.6745 5.6471 -3.8794
-5.7352 3.2435 -3.2682
-4.5884 5.7313 -0.4372
Sb Mg Cr
2 1 1
direct
0.5104 0.5104 0.5104
0.9896 0.9896 0.9896
0.7500 0.7500 0.7500
0.2500 0.2500 0.2500
```

M_tot, μB/atom: 0.642
Polymorph energy (0 for the lowest one), eV/atom: 0.000
SG: No. 166


Here is Mg2CrSb after structural relaxation from the Alexandria database. Energies are from GGA-PBE.

POSCAR file:
```
Mg2CrSb
1.0
-1.1697 -4.7219 -6.4540
-5.6162 -4.1583 4.0601
-5.4154 -2.6380 -2.1488
Cr Sb Mg
2 2 4
direct
0.5000 0.5000 0.0000
0.2500 0.7500 0.5000
0.0000 0.0000 0.0000
0.7500 0.2500 0.5000
0.3750 0.3696 0.7500
0.6304 0.1250 0.2500
0.1196 0.6250 0.2500
0.8750 0.8804 0.7500
```

M_tot, μB/atom: 0.954
Polymorph energy (0 for the lowest one), eV/atom: 0.348
SG: No. 122


Here is MgCrSb2 after structural relaxation from the Alexandria database. Energies are from GGA-PBE.

POSCAR file:
```
MgCrSb2
1.0
5.6494 -0.2238 -0.0859
4.4892 3.4370 -0.0859
0.7965 0.2524 4.3785
Sb Cr Mg
2 1 1
direct
0.0107 0.0107 0.0743
0.7410 0.7410 0.6677
0.4716 0.4716 0.5963
0.2768 0.2768 0.1618
```

M_tot, μB/atom: 0.874
Polymorph energy (0 for the lowest one), eV/atom: 0.086
SG: No. 8


Here is MgCrSb2 after structural relaxation from the Alexandria database. Energies are from GGA-PBE.

POSCAR file:
```
MgCrSb2
1.0
-2.9091 4.8769 -8.5278
-5.8204 3.5976 -7.6257
-4.8033 6.4647 -6.3330
Mg Sb Cr
1 2 1
direct
0.7561 0.7561 0.7561
0.2354 0.2354 0.2354
0.0087 0.0087 0.0087
0.4998 0.4998 0.4998
```

M_tot, μB/atom: 0.941
Polymorph energy (0 for the lowest one), eV/atom: 0.315
SG: No. 160


Here is Mg2CrSb after structural relaxation from the Alexandria database. Energies are from GGA-PBE.

POSCAR file:
```
Mg2CrSb
1.0
-1.2646 4.9762 -1.4512
-3.0798 -3.6695 -2.3488
-2.0757 0.1825 2.4400
Mg Sb Cr
2 1 1
direct
0.5000 0.5000 0.0000
0.0000 0.0000 0.0000
0.5000 0.0000 0.5000
0.0000 0.5000 0.5000
```

M_tot, μB/atom: 0.939
Polymorph energy (0 for the lowest one), eV/atom: 0.119
SG: No. 65


Here is Mg6CrSb after structural relaxation from the Alexandria database. Energies are from GGA-PBE.

POSCAR file:
```
Mg6CrSb
1.0
3.1363 -5.5065 0.0000
3.1363 5.5065 0.0000
0.0000 0.0000 5.0315
Mg Cr Sb
6 1 1
direct
0.6719 0.3281 0.0000
0.1551 0.3198 0.0000
0.6802 0.8449 0.0000
0.8311 0.6647 0.5000
0.1619 0.8381 0.0000
0.3353 0.1689 0.5000
0.8331 0.1669 0.5000
0.3315 0.6685 0.5000
```

M_tot, μB/atom: 0.498
Polymorph energy (0 for the lowest one), eV/atom: 0.000
SG: No. 38


Here is MgCr3Sb after structural relaxation from the Alexandria database. Energies are from GGA-PBE.

POSCAR file:
```
MgCr3Sb
1.0
-0.3861 5.1026 -0.4110
-5.1187 -0.3900 -0.0323
-0.0633 0.4074 5.1171
Cr Sb Mg
3 1 1
direct
0.5000 0.0000 0.0000
0.0000 0.5000 0.0000
0.0000 0.0000 0.5000
0.0000 0.0000 0.0000
0.5000 0.5000 0.5000
```

M_tot, μB/atom: 2.522
Polymorph energy (0 for the lowest one), eV/atom: 0.000
SG: No. 221


Here is MgCrSb2 after structural relaxation from the Alexandria database. Energies are from GGA-PBE.

POSCAR file:
```
MgCrSb2
1.0
-2.6579 -1.5118 -1.2576
-1.3416 -1.1857 4.2609
-3.1118 5.1044 0.4407
Mg Sb Cr
1 2 1
direct
0.5000 0.5000 0.8036
0.0000 0.0000 0.9329
0.5000 0.5000 0.3237
0.0000 0.0000 0.4399
```

M_tot, μB/atom: 0.880
Polymorph energy (0 for the lowest one), eV/atom: 0.089
SG: No. 25


Here is MgCrSb2 after structural relaxation from the Alexandria database. Energies are from GGA-PBE.

POSCAR file:
```
MgCrSb2
1.0
3.9442 0.0000 0.0000
0.0000 5.8446 0.1272
0.0000 4.0812 4.1247
Sb Cr Mg
2 1 1
direct
0.5000 0.5000 0.0000
0.0000 0.0000 0.0000
0.5000 0.5000 0.5000
0.0000 0.0000 0.5000
```

M_tot, μB/atom: 0.979
Polymorph energy (0 for the lowest one), eV/atom: 0.110
SG: No. 10


Here is MgCr2Sb after structural relaxation from the Alexandria database. Energies are from GGA-PBE.

POSCAR file:
```
MgCr2Sb
1.0
3.3314 0.0018 0.0000
-0.0016 3.3314 0.0000
0.0000 0.0000 6.0656
Cr Sb Mg
2 1 1
direct
0.0000 0.0000 0.9864
0.0000 0.0000 0.5136
0.5000 0.5000 0.7500
0.5000 0.5000 0.2500
```

M_tot, μB/atom: 1.144
SG: No. 123


Here is MgCr2Sb after structural relaxation from the Alexandria database. Energies are from GGA-PBE.

POSCAR file:
```
MgCr2Sb
1.0
4.6441 0.0000 0.0000
2.3221 4.0219 0.0000
2.3221 1.3406 3.7919
Cr Sb Mg
2 1 1
direct
0.0000 0.0000 0.0000
0.2500 0.2500 0.2500
0.7500 0.7500 0.7500
0.5000 0.5000 0.5000
```

M_tot, μB/atom: 0.185
SG: No. 216


Here is MgCrSb2 after structural relaxation from the Alexandria database. Energies are from GGA-PBE.

POSCAR file:
```
MgCrSb2
1.0
6.2674 0.0000 0.0000
0.0000 6.2674 0.0000
3.1337 3.1337 6.3903
Sb Mg Cr
4 2 2
direct
0.0841 0.6250 0.2500
0.8750 0.9159 0.7500
0.3750 0.3341 0.7500
0.6659 0.1250 0.2500
0.5000 0.5000 0.0000
0.2500 0.7500 0.5000
0.7500 0.2500 0.5000
0.0000 0.0000 0.0000
```

M_tot, μB/atom: 0.500
Polymorph energy (0 for the lowest one), eV/atom: 0.270
SG: No. 122


Here is MgCrSb2 after structural relaxation from the Alexandria database. Energies are from GGA-PBE.

POSCAR file:
```
MgCrSb2
1.0
-4.9455 5.6272 0.9658
-6.5578 1.3310 3.5043
7.2052 -2.2220 -0.4512
Cr Mg Sb
1 1 2
direct
0.5355 0.5355 0.0000
0.3056 0.8056 0.5000
0.6963 0.1963 0.5000
0.9626 0.9626 0.0000
```

M_tot, μB/atom: 0.821
Polymorph energy (0 for the lowest one), eV/atom: 0.060
SG: No. 44


Here is Mg2CrSb after structural relaxation from the Alexandria database. Energies are from GGA-PBE.

POSCAR file:
```
Mg2CrSb
1.0
4.4550 0.0000 0.0000
0.0000 3.3246 -0.0099
0.0000 1.6760 5.8293
Mg Sb Cr
2 1 1
direct
0.0000 0.9519 0.9692
0.5000 0.3079 0.2635
0.0000 0.6908 0.4954
0.5000 0.5494 0.7719
```

M_tot, μB/atom: 0.982
Polymorph energy (0 for the lowest one), eV/atom: 0.127
SG: No. 6


Here is MgCrSb2 after structural relaxation from the Alexandria database. Energies are from GGA-PBE.

POSCAR file:
```
MgCrSb2
1.0
-4.3382 -2.1050 -0.1568
-3.9298 2.6396 -0.9298
-2.2926 -0.4896 -4.2166
Sb Cr Mg
2 1 1
direct
0.7500 0.7500 0.7500
0.2500 0.2500 0.2500
0.5000 0.5000 0.5000
0.0000 0.0000 0.0000
```

M_tot, μB/atom: 0.000
Polymorph energy (0 for the lowest one), eV/atom: 0.381
SG: No. 225


Here is Mg4CrSb after structural relaxation from the Alexandria database. Energies are from GGA-PBE.

POSCAR file:
```
Mg4CrSb
1.0
0.0000 4.0791 4.0791
4.0791 0.0000 4.0791
4.0791 4.0791 0.0000
Cr Sb Mg
1 1 4
direct
0.0000 0.0000 0.0000
0.7500 0.7500 0.7500
0.8758 0.3747 0.3747
0.3747 0.8758 0.3747
0.3747 0.3747 0.8758
0.3747 0.3747 0.3747
```

M_tot, μB/atom: 0.737
SG: No. 216


Here is MgCr2Sb after structural relaxation from the Alexandria database. Energies are from GGA-PBE.

POSCAR file:
```
MgCr2Sb
1.0
-1.7567 -7.2456 -1.3164
6.8640 -1.1208 -2.9912
3.6094 -4.9302 0.5488
Cr Mg Sb
4 2 2
direct
0.3750 0.3556 0.7500
0.8750 0.8944 0.7500
0.1056 0.6250 0.2500
0.6444 0.1250 0.2500
0.2500 0.7500 0.5000
0.5000 0.5000 0.0000
0.0000 0.0000 0.0000
0.7500 0.2500 0.5000
```

M_tot, μB/atom: 1.851
SG: No. 122


Here is MgCrSb2 after structural relaxation from the Alexandria database. Energies are from GGA-PBE.

POSCAR file:
```
MgCrSb2
1.0
3.1287 0.3306 0.0000
-0.3284 3.1289 0.0000
0.0000 0.0000 9.6534
Mg Sb Cr
1 2 1
direct
0.5000 0.5000 0.7204
0.0000 0.0000 0.9565
0.5000 0.5000 0.3160
0.0000 0.0000 0.5071
```

M_tot, μB/atom: 0.923
Polymorph energy (0 for the lowest one), eV/atom: 0.195
SG: No. 99


Here is MgCr2Sb after structural relaxation from the Alexandria database. Energies are from GGA-PBE.

POSCAR file:
```
MgCr2Sb
1.0
-1.3863 1.2176 2.4611
-0.8457 -2.8123 0.9150
6.6401 -0.6718 4.0727
Cr Sb Mg
2 1 1
direct
0.5000 0.5000 0.1965
0.0000 0.0000 0.0523
0.5000 0.5000 0.8139
0.0000 0.0000 0.4374
```

M_tot, μB/atom: 0.109
SG: No. 99


Here is MgCr2Sb after structural relaxation from the Alexandria database. Energies are from GGA-PBE.

POSCAR file:
```
MgCr2Sb
1.0
-7.4981 4.1670 3.1378
-8.0984 1.1497 4.0652
-6.2720 3.0593 5.8936
Mg Cr Sb
1 2 1
direct
0.2500 0.2500 0.2500
0.4972 0.4972 0.4972
0.0028 0.0028 0.0028
0.7500 0.7500 0.7500
```

M_tot, μB/atom: 1.841
SG: No. 166


no.,calculated density (g/cm³),formation energy without anion corrections (kJ/mol of atoms),calculated total energy (eV/cell)
1,5.65,0.1,-19.5
2,3.94,36.9,-30.8
3,5.92,8.4,-19.1
4,5.58,30.5,-18.2
5,4.38,14.8,-16.3
6,3.05,5.2,-22.9
7,3.71,107.5,-29.0
8,5.80,8.7,-19.1
9,5.71,10.8,-19.0
10,6.17,38.5,-23.4
11,5.86,25.7,-23.9
12,4.23,26.1,-36.8
13,5.61,5.9,-19.2
14,4.27,15.7,-16.3
15,6.69,36.8,-17.9
16,3.31,29.1,-18.3
17,4.84,67.2,-44.4
18,5.56,18.9,-18.7
19,5.61,21.7,-24.1
20,5.19,55.7,-22.7